## SrUHg2Se6 (GGA-PBE)

Data for SrUHg2Se6 after structural relaxation.

Values from the calculation:
formation energy (no corrections) = -7.445 eV/f.u.
SG = P1 (1)

Cell lengths 7.294, 7.299, 8.045 Å; angles 63.28, 63.16, 60.04 degrees
Sites, in units of the cell vectors:
Sr1 0.000 0.000 0.000
U1 0.504 0.496 0.500
Hg1 0.246 0.237 0.285
Hg2 0.764 0.762 0.715
Se1 0.132 0.712 0.742
Se2 0.288 0.587 0.255
Se3 0.414 0.126 0.736
Se4 0.589 0.867 0.259
Se5 0.717 0.414 0.741
Se6 0.878 0.275 0.265

=====

## CaMgBe (GGA-PBE)

Data for CaMgBe after structural relaxation.

Values from the calculation:
polymorph energy (0 for the lowest one) = 0.073 eV per atom
SG = Pm (6)
DFT formation energy = 0.184 eV per atom

Cell lengths 5.397, 3.878, 7.363 Å; angles 90.00, 104.57, 90.00 degrees
Sites, in units of the cell vectors:
Ca1 0.000 0.000 0.000
Ca2 0.414 0.000 0.558
Mg1 0.479 0.500 0.943
Mg2 0.867 0.500 0.377
Be1 0.359 0.500 0.252
Be2 0.531 0.000 0.202

=====

## Li3La3Ga8 (GGA-PBE)

Data for Li3La3Ga8 after structural relaxation.

Values from the calculation:
SG = Immm (71)
DFT formation energy = -0.543 eV per atom

Cell lengths 8.618, 8.618, 8.618 Å; angles 150.07, 111.78, 76.25 degrees
Sites, in units of the cell vectors:
Li1 0.000 0.000 0.000
Li2 0.202 0.500 0.702
Li3 0.798 0.500 0.298
La1 0.200 0.700 0.500
La2 0.500 0.000 0.500
La3 0.800 0.300 0.500
Ga1 0.077 0.857 0.220
Ga2 0.206 0.342 0.864
Ga3 0.363 0.143 0.220
Ga4 0.478 0.342 0.136
Ga5 0.522 0.658 0.864
Ga6 0.637 0.857 0.780
Ga7 0.794 0.658 0.136
Ga8 0.923 0.143 0.780

=====

VASP energy / eV/atom: -4.193 -2.257 -3.738